An optimized crystal structure of Pm8SnSb2. Source: the Alexandria database, functional PBE-GGA.

Values from the calculation:
The calculation puts the calculated volume at 32.238 Å³ per atom. The mass density comes out at 7.1 g cm⁻³. The value obtained for the uncorrected formation energy is -0.4932 eV/atom.

Cell and atoms, written as CIF:
```
data_Pm8SnSb2
_symmetry_space_group_name_H-M 'C 1 2/m 1'
_symmetry_Int_Tables_number 12
_cell_length_a 19.571
_cell_length_b 4.987
_cell_length_c 7.363
_cell_angle_alpha 90.00
_cell_angle_beta 99.30
_cell_angle_gamma 90.00
loop_
_symmetry_equiv_pos_as_xyz
'x,y,z'
'-x,-y,-z'
'-x,y,-z'
'x,-y,z'
'x+1/2,y+1/2,z'
'-x+1/2,-y+1/2,-z'
'-x+1/2,y+1/2,-z'
'x+1/2,-y+1/2,z'
loop_
_atom_site_label
_atom_site_type_symbol
_atom_site_fract_x
_atom_site_fract_y
_atom_site_fract_z
Pm1 Pm 0.017 0.000 0.256
Pm2 Pm 0.096 0.500 0.991
Pm3 Pm 0.163 0.500 0.524
Pm4 Pm 0.217 0.000 0.851
Sn1 Sn 0.000 0.500 0.500
Sb1 Sb 0.180 0.000 0.267
```